# YCrAg2

A relaxed YCrAg2 crystal (PBEsol, the Alexandria database).

Values from the calculation:
Relative energy among the computed polymorphs = 0 meV per atom
Energy of formation from the pure elements = 0.1398 eV/atom

abc: 6.7809 6.7809 6.7809
angles: 90.00 90.00 90.00
Space group Fm-3m (No. 225)
Symmetry-distinct sites (fractional):
Y 0.0000 0.0000 0.0000 x4
Cr 0.0000 0.0000 0.5000 x4
Ag 0.2500 0.2500 0.2500 x8

---

# CuPdS2Cl

A relaxed CuPdS2Cl crystal (PBEsol, the Alexandria database).

Values from the calculation:
Calculated total energy = -18.20 eV per formula unit

abc: 4.6108 4.6108 4.7180
angles: 90.00 90.00 90.00
Space group P4/mmm (No. 123)
Symmetry-distinct sites (fractional):
Cu 0.0000 0.0000 0.0000 x1
Pd 0.5000 0.5000 0.5000 x1
S 0.0000 0.5000 0.5000 x2
Cl 0.5000 0.5000 0.0000 x1

---

# CaTl2Ru

A relaxed CaTl2Ru crystal (PBEsol, the Alexandria database).

Values from the calculation:
Energy of formation from the pure elements = 0.2543 eV/atom

abc: 4.2819 4.2819 9.1636
angles: 90.00 90.00 90.00
Space group I-4m2 (No. 119)
Symmetry-distinct sites (fractional):
Ca 0.0000 0.0000 0.0000 x2
Tl 0.0000 0.0000 0.5000 x2
Tl 0.0000 0.5000 0.7500 x2
Ru 0.0000 0.5000 0.2500 x2

---

# YAl7Au3

A relaxed YAl7Au3 crystal (PBEsol, the Alexandria database).

Values from the calculation:
Energy of formation from the pure elements = -0.5569 eV/atom

abc: 8.0056 8.0056 20.9315
angles: 90.00 90.00 120.00
Space group R-3c (No. 167, hexagonal axes)
Symmetry-distinct sites (fractional):
Y 0.0000 0.0000 0.0000 x6
Al 0.0000 0.0000 0.2500 x6
Al 0.0105 0.2076 0.1368 x36
Au 0.0000 0.3243 0.2500 x18

---

# AlCoAu2

A relaxed AlCoAu2 crystal (PBEsol, the Alexandria database).

Values from the calculation:
Energy of formation from the pure elements = -0.0648 eV/atom

abc: 2.9224 3.5569 5.6211
angles: 90.00 90.00 90.00
Space group Pmmm (No. 47)
Symmetry-distinct sites (fractional):
Al 0.0000 0.0000 0.0000 x1
Co 0.0000 0.0000 0.5000 x1
Au 0.5000 0.5000 0.2538 x2

---

# Li3ZrCo

A relaxed Li3ZrCo crystal (PBEsol, the Alexandria database).

Values from the calculation:
Energy of formation from the pure elements = 0.7802 eV/atom

abc: 4.2598 4.2598 4.2598
angles: 90.00 90.00 90.00
Space group Pm-3m (No. 221)
Symmetry-distinct sites (fractional):
Li 0.0000 0.0000 0.5000 x3
Zr 0.5000 0.5000 0.5000 x1
Co 0.0000 0.0000 0.0000 x1

---

# Rh2PbAu

A relaxed Rh2PbAu crystal (PBEsol, the Alexandria database).

Values from the calculation:
Energy of formation from the pure elements = 0.2556 eV/atom

abc: 3.2228 3.2228 6.7355
angles: 90.00 90.00 90.00
Space group P4mm (No. 99)
Symmetry-distinct sites (fractional):
Rh 0.0000 0.0000 0.0000 x1
Rh 0.5000 0.5000 0.1857 x1
Pb 0.5000 0.5000 0.7284 x1
Au 0.0000 0.0000 0.4174 x1

---

# SbOs2W

A relaxed SbOs2W crystal (PBEsol, the Alexandria database).

Values from the calculation:
Calculated total energy = -41.36 eV per formula unit

abc: 2.9612 2.9612 7.2915
angles: 90.00 90.00 90.00
Space group P4/mmm (No. 123)
Symmetry-distinct sites (fractional):
Sb 0.0000 0.0000 0.0000 x1
Os 0.5000 0.5000 0.2640 x2
W 0.0000 0.0000 0.5000 x1

---

Sequential magnetic moment output: 4.2, 0.0, 0.0, 0.0, 1.4, 0.0, 0.0, 0.0 μB per formula unit